(1)
# SrSmCd6, relaxed, DFT PBE
data_SrSmCd6
_chemical_formula_sum 'Sr1 Sm1 Cd6'
_cell_length_a 5.1827
_cell_length_b 5.1827
_cell_length_c 7.4324
_cell_angle_alpha 90.00
_cell_angle_beta 90.00
_cell_angle_gamma 90.00
_symmetry_space_group_name_H-M 'P 1'
_symmetry_Int_Tables_number 1
_symmetry_space_group_name_Hall 'P 1'
loop_
_atom_site_label
_atom_site_fract_x
_atom_site_fract_y
_atom_site_fract_z
_atom_site_occupancy
Sr1 0.0000 0.0000 0.0000 1
Sm1 0.5000 0.5000 0.5000 1
Cd1 0.0000 0.0000 0.5000 1
Cd2 0.0000 0.5000 0.2570 1
Cd3 0.0000 0.5000 0.7430 1
Cd4 0.5000 0.0000 0.2570 1
Cd5 0.5000 0.0000 0.7430 1
Cd6 0.5000 0.5000 0.0000 1
# VASP energy: -14.04 eV for the cell shown
# Crystal system: tetragonal
# Distance to the lowest polymorph of the same formula: 0.0 meV/atom
# SG: P4/mmm, No. 123

(2)
# SrSm2Cd9, relaxed, DFT PBE
data_SrSm2Cd9
_chemical_formula_sum 'Sr1 Sm2 Cd9'
_cell_length_a 10.1918
_cell_length_b 10.1918
_cell_length_c 10.1918
_cell_angle_alpha 34.72
_cell_angle_beta 34.72
_cell_angle_gamma 34.72
_symmetry_space_group_name_H-M 'P 1'
_symmetry_Int_Tables_number 1
_symmetry_space_group_name_Hall 'P 1'
loop_
_atom_site_label
_atom_site_fract_x
_atom_site_fract_y
_atom_site_fract_z
_atom_site_occupancy
Sr1 0.0000 0.0000 0.0000 1
Sm1 0.1436 0.1436 0.1436 1
Sm2 0.8564 0.8564 0.8564 1
Cd1 0.0770 0.5902 0.5902 1
Cd2 0.3356 0.3356 0.3356 1
Cd3 0.4098 0.4098 0.9230 1
Cd4 0.4098 0.9230 0.4098 1
Cd5 0.5000 0.5000 0.5000 1
Cd6 0.5902 0.0770 0.5902 1
Cd7 0.5902 0.5902 0.0770 1
Cd8 0.6644 0.6644 0.6644 1
Cd9 0.9230 0.4098 0.4098 1
# VASP energy: -22.41 eV for the cell shown
# Crystal system: trigonal
# SG: R-3m, No. 166

(3)
# SrSmCd4, relaxed, DFT PBE
data_SrSmCd4
_chemical_formula_sum 'Sr1 Sm1 Cd4'
_cell_length_a 6.0756
_cell_length_b 6.0756
_cell_length_c 6.0756
_cell_angle_alpha 60.00
_cell_angle_beta 60.00
_cell_angle_gamma 60.00
_symmetry_space_group_name_H-M 'P 1'
_symmetry_Int_Tables_number 1
_symmetry_space_group_name_Hall 'P 1'
loop_
_atom_site_label
_atom_site_fract_x
_atom_site_fract_y
_atom_site_fract_z
_atom_site_occupancy
Sr1 0.0000 0.0000 0.0000 1
Sm1 0.7500 0.7500 0.7500 1
Cd1 0.3758 0.3758 0.3758 1
Cd2 0.3758 0.3758 0.8726 1
Cd3 0.3758 0.8726 0.3758 1
Cd4 0.8726 0.3758 0.3758 1
# VASP energy: -11.67 eV for the cell shown
# Crystal system: cubic
# Distance to the lowest polymorph of the same formula: 48.0 meV/atom
# SG: F-43m, No. 216

(4)
# Sr2Sm2Cd15, relaxed, DFT PBE
data_Sr2Sm2Cd15
_chemical_formula_sum 'Sr2 Sm2 Cd15'
_cell_length_a 7.9759
_cell_length_b 7.9759
_cell_length_c 7.9759
_cell_angle_alpha 80.97
_cell_angle_beta 80.97
_cell_angle_gamma 80.97
_symmetry_space_group_name_H-M 'P 1'
_symmetry_Int_Tables_number 1
_symmetry_space_group_name_Hall 'P 1'
loop_
_atom_site_label
_atom_site_fract_x
_atom_site_fract_y
_atom_site_fract_z
_atom_site_occupancy
Sr1 0.1602 0.1602 0.1602 1
Sr2 0.8398 0.8398 0.8398 1
Sm1 0.4072 0.4072 0.4072 1
Sm2 0.5928 0.5928 0.5928 1
Cd1 0.0000 0.5000 0.5000 1
Cd2 0.1390 0.1390 0.6521 1
Cd3 0.1390 0.6521 0.1390 1
Cd4 0.2033 0.5000 0.7967 1
Cd5 0.2033 0.7967 0.5000 1
Cd6 0.3479 0.8610 0.8610 1
Cd7 0.5000 0.0000 0.5000 1
Cd8 0.5000 0.2033 0.7967 1
Cd9 0.5000 0.5000 0.0000 1
Cd10 0.5000 0.7967 0.2033 1
Cd11 0.6521 0.1390 0.1390 1
Cd12 0.7967 0.2033 0.5000 1
Cd13 0.7967 0.5000 0.2033 1
Cd14 0.8610 0.3479 0.8610 1
Cd15 0.8610 0.8610 0.3479 1
# VASP energy: -29.75 eV for the cell shown
# Crystal system: trigonal
# SG: R-3m, No. 166

(5)
# Sr5SmCd6, relaxed, DFT PBE
data_Sr5SmCd6
_chemical_formula_sum 'Sr5 Sm1 Cd6'
_cell_length_a 8.9441
_cell_length_b 8.9441
_cell_length_c 8.0670
_cell_angle_alpha 90.00
_cell_angle_beta 90.00
_cell_angle_gamma 143.12
_symmetry_space_group_name_H-M 'P 1'
_symmetry_Int_Tables_number 1
_symmetry_space_group_name_Hall 'P 1'
loop_
_atom_site_label
_atom_site_fract_x
_atom_site_fract_y
_atom_site_fract_z
_atom_site_occupancy
Sr1 0.0000 0.0000 0.0000 1
Sr2 0.3321 0.6679 0.0000 1
Sr3 0.3325 0.6675 0.5000 1
Sr4 0.6675 0.3325 0.5000 1
Sr5 0.6679 0.3321 0.0000 1
Sm1 0.0000 0.0000 0.5000 1
Cd1 0.1601 0.8399 0.2594 1
Cd2 0.1601 0.8399 0.7406 1
Cd3 0.5000 0.5000 0.2674 1
Cd4 0.5000 0.5000 0.7326 1
Cd5 0.8399 0.1601 0.2594 1
Cd6 0.8399 0.1601 0.7406 1
# VASP energy: -22.48 eV for the cell shown
# Crystal system: orthorhombic
# SG: Cmmm, No. 65

(6)
# SrSmCd6, relaxed, DFT PBE
data_SrSmCd6
_chemical_formula_sum 'Sr1 Sm1 Cd6'
_cell_length_a 5.0527
_cell_length_b 6.8071
_cell_length_c 6.8071
_cell_angle_alpha 62.50
_cell_angle_beta 90.00
_cell_angle_gamma 90.00
_symmetry_space_group_name_H-M 'P 1'
_symmetry_Int_Tables_number 1
_symmetry_space_group_name_Hall 'P 1'
loop_
_atom_site_label
_atom_site_fract_x
_atom_site_fract_y
_atom_site_fract_z
_atom_site_occupancy
Sr1 0.0000 0.0000 0.0000 1
Sm1 0.5000 0.6959 0.6959 1
Cd1 0.0000 0.0342 0.4875 1
Cd2 0.0000 0.4875 0.0342 1
Cd3 0.0000 0.5192 0.5192 1
Cd4 0.5000 0.1894 0.1894 1
Cd5 0.5000 0.2153 0.6477 1
Cd6 0.5000 0.6477 0.2153 1
# VASP energy: -14.01 eV for the cell shown
# Crystal system: orthorhombic
# Distance to the lowest polymorph of the same formula: 3.8 meV/atom
# SG: Amm2, No. 38

(7)
# Sr2SmCd4, relaxed, DFT PBE
data_Sr2SmCd4
_chemical_formula_sum 'Sr2 Sm1 Cd4'
_cell_length_a 8.2252
_cell_length_b 8.2252
_cell_length_c 8.2252
_cell_angle_alpha 139.82
_cell_angle_beta 139.82
_cell_angle_gamma 58.12
_symmetry_space_group_name_H-M 'P 1'
_symmetry_Int_Tables_number 1
_symmetry_space_group_name_Hall 'P 1'
loop_
_atom_site_label
_atom_site_fract_x
_atom_site_fract_y
_atom_site_fract_z
_atom_site_occupancy
Sr1 0.2356 0.2356 0.0000 1
Sr2 0.7644 0.7644 0.0000 1
Sm1 0.5000 0.5000 0.0000 1
Cd1 0.1074 0.6074 0.5000 1
Cd2 0.3926 0.8926 0.5000 1
Cd3 0.6074 0.1074 0.5000 1
Cd4 0.8926 0.3926 0.5000 1
# VASP energy: -12.94 eV for the cell shown
# Crystal system: tetragonal
# SG: I4/mmm, No. 139

(8)
# SrSm2Cd, relaxed, DFT PBE
data_SrSm2Cd
_chemical_formula_sum 'Sr1 Sm2 Cd1'
_cell_length_a 12.4251
_cell_length_b 12.4251
_cell_length_c 12.4251
_cell_angle_alpha 17.08
_cell_angle_beta 17.08
_cell_angle_gamma 17.08
_symmetry_space_group_name_H-M 'P 1'
_symmetry_Int_Tables_number 1
_symmetry_space_group_name_Hall 'P 1'
loop_
_atom_site_label
_atom_site_fract_x
_atom_site_fract_y
_atom_site_fract_z
_atom_site_occupancy
Sr1 0.0000 0.0000 0.0000 1
Sm1 0.0993 0.0993 0.0993 1
Sm2 0.9007 0.9007 0.9007 1
Cd1 0.5000 0.5000 0.5000 1
# VASP energy: -11.40 eV for the cell shown
# Crystal system: trigonal
# Distance to the lowest polymorph of the same formula: 201.9 meV/atom
# SG: R-3m, No. 166

Number 1: Fermi-level density of states 2.8 states/eV/f.u., DFT formation energy -2.1 eV per formula unit. Number 2: Fermi-level density of states 9.2 states/eV/f.u., DFT formation energy -3.0 eV per formula unit. Number 3: Fermi-level density of states 3.9 states/eV/f.u., DFT formation energy -1.6 eV per formula unit. Number 4: Fermi-level density of states 9.5 states/eV/f.u., DFT formation energy -3.2 eV per formula unit. Number 5: Fermi-level density of states 8.3 states/eV/f.u., DFT formation energy -3.9 eV per formula unit. Number 6: Fermi-level density of states 4.6 states/eV/f.u., DFT formation energy -2.1 eV per formula unit. Number 7: Fermi-level density of states 6.9 states/eV/f.u., DFT formation energy -1.2 eV per formula unit. Number 8: Fermi-level density of states 6.9 states/eV/f.u., DFT formation energy 0.6 eV per formula unit.